# PBE+U CuSbMoO6, optimized geometry
data_CuSbMoO6
_chemical_formula_sum 'Cu2 Sb2 Mo2 O12'
_cell_length_a 4.678
_cell_length_b 4.678
_cell_length_c 9.514
_cell_angle_alpha 90.00
_cell_angle_beta 90.00
_cell_angle_gamma 90.00
_symmetry_space_group_name_H-M 'P 1'
_symmetry_Int_Tables_number 1
loop_
_symmetry_equiv_pos_as_xyz
'x,y,z'
loop_
_atom_site_label
_atom_site_fract_x
_atom_site_fract_y
_atom_site_fract_z
Cu1 0.500 0.500 0.499
Cu2 0.000 0.000 0.999
Sb1 0.500 0.500 0.833
Sb2 0.000 0.000 0.333
Mo1 0.500 0.500 0.165
Mo2 0.000 0.000 0.665
O1 0.192 0.808 0.500
O2 0.808 0.192 0.500
O3 0.308 0.308 0.000
O4 0.692 0.692 0.000
O5 0.203 0.797 0.173
O6 0.797 0.203 0.173
O7 0.297 0.297 0.673
O8 0.703 0.703 0.673
O9 0.802 0.198 0.828
O10 0.198 0.802 0.828
O11 0.698 0.698 0.328
O12 0.302 0.302 0.328
# Calculated total energy (eV/atom): -6.263